## Tl2VF6 (PBE+U)

Data for Tl2VF6 after structural relaxation.

Cell and atoms, written as extended XYZ:
```
9
Lattice="0.000 4.370 4.370 4.370 0.000 4.370 4.370 4.370 0.000" Properties=species:S:1:pos:R:3 pbc="T T T"
Tl 2.185 2.185 2.185
Tl 6.554 6.554 6.554
V 0.000 0.000 0.000
F 4.370 4.370 1.885
F 4.370 1.885 4.370
F 6.854 4.370 4.370
F 1.885 4.370 4.370
F 4.370 6.854 4.370
F 4.370 4.370 6.854
```

Output
magnetization = 1.00 μB/cell
uncorrected energy = -44.20 eV per cell
calculated volume = 166.87 Å³/cell